VASP calculation (GGA-PBE) on a relaxed FeRu3W crystal.

Structure (CIF):
```
data_FeRu3W
_chemical_formula_sum 'Fe1 Ru3 W1'
_cell_length_a 4.333
_cell_length_b 4.333
_cell_length_c 4.333
_cell_angle_alpha 90.00
_cell_angle_beta 90.00
_cell_angle_gamma 90.00
_symmetry_space_group_name_H-M 'P m -3 m'
_symmetry_Int_Tables_number 221
_symmetry_space_group_name_Hall '-P 4 2 3'
loop_
_atom_site_label
_atom_site_type_symbol
_atom_site_fract_x
_atom_site_fract_y
_atom_site_fract_z
Fe1 Fe 0.000 0.000 0.000
Ru1 Ru 0.000 0.000 0.500
W1 W 0.500 0.500 0.500
```

magnetic moment: 0.397 μB/atom
E_form: 1.5280 eV per atom
polymorph energy (0 for the lowest one): 0 meV/atom



VASP calculation (GGA-PBE) on a relaxed K2Er2SbO6 crystal.

Structure (CIF):
```
data_K2Er2SbO6
_chemical_formula_sum 'K4 Er4 Sb2 O12'
_cell_length_a 5.890
_cell_length_b 10.173
_cell_length_c 6.656
_cell_angle_alpha 90.00
_cell_angle_beta 106.25
_cell_angle_gamma 90.00
_symmetry_space_group_name_H-M 'C 1 2/m 1'
_symmetry_Int_Tables_number 12
loop_
_symmetry_equiv_pos_as_xyz
'x,y,z'
'-x,-y,-z'
'-x,y,-z'
'x,-y,z'
'x+1/2,y+1/2,z'
'-x+1/2,-y+1/2,-z'
'-x+1/2,y+1/2,-z'
'x+1/2,-y+1/2,z'
loop_
_atom_site_label
_atom_site_type_symbol
_atom_site_fract_x
_atom_site_fract_y
_atom_site_fract_z
K1 K 0.000 0.165 0.000
Er1 Er 0.000 0.335 0.500
Sb1 Sb 0.000 0.000 0.500
O1 O 0.214 0.164 0.674
O2 O 0.240 0.500 0.674
```

magnetic moment: 0.046 μB/atom
formation energy from raw total energies: -2.373 eV per atom



VASP calculation (GGA-PBE) on a relaxed La4Ag2N crystal.

Structure (CIF):
```
data_La4Ag2N
_chemical_formula_sum 'La8 Ag4 N2'
_cell_length_a 13.309
_cell_length_b 3.970
_cell_length_c 8.670
_cell_angle_alpha 90.00
_cell_angle_beta 124.04
_cell_angle_gamma 90.00
_symmetry_space_group_name_H-M 'C 1 2/m 1'
_symmetry_Int_Tables_number 12
loop_
_symmetry_equiv_pos_as_xyz
'x,y,z'
'-x,-y,-z'
'-x,y,-z'
'x,-y,z'
'x+1/2,y+1/2,z'
'-x+1/2,-y+1/2,-z'
'-x+1/2,y+1/2,-z'
'x+1/2,-y+1/2,z'
loop_
_atom_site_label
_atom_site_type_symbol
_atom_site_fract_x
_atom_site_fract_y
_atom_site_fract_z
La1 La 0.081 0.000 0.336
La2 La 0.147 0.500 0.061
Ag1 Ag 0.128 0.500 0.665
N1 N 0.000 0.000 0.000
```

magnetic moment: 0.000 μB/atom
polymorph energy (0 for the lowest one): 0 meV/atom
formation energy from raw total energies: -0.548 eV per atom



> What is the formula in the first record?

FeRu3W